No. 1
TaCu2SbPb: optimized geometry, PBEsol.

abc: 4.837 4.837 5.227
angles: 90.00 90.00 90.00
Sites, in units of the cell vectors:
Sb 0.000 0.000 0.500
Pb 0.500 0.500 0.500
Ta 0.000 0.000 0.000
Cu 0.500 0.000 0.000
Cu 0.000 0.500 0.000

For the density, the calculation gives 8.7 g/cm3. For the total energy, the calculation gives -5.0496 eV per atom.


No. 2
CsRb2TlF6: optimized geometry, PBEsol.

abc: 6.904 6.904 6.904
angles: 60.00 60.00 60.00
Sites, in units of the cell vectors:
F 0.778 0.778 0.222
F 0.222 0.778 0.778
Rb 0.250 0.250 0.250
Cs 0.500 0.500 0.500
Tl 0.000 0.000 0.000
Rb 0.750 0.750 0.750
F 0.778 0.222 0.222
F 0.222 0.778 0.222
F 0.778 0.222 0.778
F 0.222 0.222 0.778

For the density, the calculation gives 4.4 g/cm3. For the total energy, the calculation gives -4.0906 eV per atom.


No. 3
LaZrAl3: optimized geometry, PBEsol.

abc: 5.201 5.201 5.201
angles: 90.00 90.00 90.00
Sites, in units of the cell vectors:
Al 0.500 0.000 0.000
Zr 0.500 0.500 0.500
Al 0.000 0.500 0.000
Al 0.000 0.000 0.500
La 0.000 0.000 0.000

For the density, the calculation gives 3.7 g/cm3. For the total energy, the calculation gives -3.9516 eV per atom. The formation enthalpy at 0 K is 1.3905 eV per atom.


No. 4
KTa2Mo: optimized geometry, PBEsol.

abc: 2.944 5.498 5.959
angles: 117.47 104.30 90.00
Sites, in units of the cell vectors:
Mo 0.284 0.784 0.567
Ta 0.985 0.985 0.970
K 0.512 0.512 0.023
Ta 0.720 0.220 0.439

For the density, the calculation gives 10.0 g/cm3. For the total energy, the calculation gives -8.1817 eV per atom. The formation enthalpy at 0 K is 1.3191 eV per atom.


No. 5
V2CdP4O14: optimized geometry, PBEsol.

abc: 4.786 6.974 7.779
angles: 89.87 88.04 73.39
Site moments in Bohr magnetons follow the coordinates.
Sites, in units of the cell vectors:
O 0.921 0.782 0.622  -0.01
O 0.201 0.431 0.665  0.00
O 0.178 0.077 0.726  -0.01
O 0.504 0.226 0.899  -0.01
O 0.111 0.671 0.916  -0.01
P 0.386 0.211 0.718  0.01
O 0.079 0.218 0.378  -0.01
O 0.692 0.559 0.793  -0.01
P 0.614 0.789 0.282  0.01
O 0.308 0.441 0.207  -0.01
Cd 0.000 0.000 0.000  0.03
O 0.889 0.329 0.084  -0.01
O 0.496 0.774 0.101  -0.01
O 0.382 0.842 0.424  -0.01
P 0.968 0.618 0.752  0.01
O 0.822 0.923 0.274  -0.01
O 0.618 0.158 0.576  -0.01
P 0.032 0.382 0.248  0.01
V 0.000 0.000 0.500  1.74
O 0.799 0.569 0.335  0.00
V 0.500 0.500 0.000  1.91

For the density, the calculation gives 3.8 g/cm3. For the total energy, the calculation gives -7.7117 eV per atom.


No. 6
Mo5Ir: optimized geometry, PBEsol.

abc: 2.640 4.562 7.686
angles: 90.00 99.89 90.00
Sites, in units of the cell vectors:
Ir 0.998 0.000 0.996
Mo 0.556 0.500 0.113
Mo 0.334 0.000 0.667
Mo 0.657 0.000 0.313
Mo 0.895 0.500 0.790
Mo 0.227 0.500 0.455

For the density, the calculation gives 12.2 g/cm3. For the total energy, the calculation gives -11.2668 eV per atom. The formation enthalpy at 0 K is 0.1770 eV per atom.